# Dy3Tm PBE relaxed
# - magnetic moment (μB per formula unit) = 0.118
# - E (Ry/atom) = -0.3354
# - energy relative to the elements (kJ/mol of formula units) = 2
data_Dy3Tm
_chemical_formula_sum 'Dy12 Tm4'
_symmetry_space_group_name_H-M 'A m a 2'
_symmetry_Int_Tables_number 40
_symmetry_space_group_name_Hall 'A 2 -2a'
_cell_length_a 5.5939
_cell_length_b 12.4507
_cell_length_c 7.1886
_cell_angle_alpha 90.00
_cell_angle_beta 90.00
_cell_angle_gamma 90.00
loop_
_atom_site_label
_atom_site_type_symbol
_atom_site_fract_x
_atom_site_fract_y
_atom_site_fract_z
Dy1 Dy 0.2500 0.0831 0.0000
Dy2 Dy 0.2500 0.3334 0.2498
Dy3 Dy 0.2500 0.3337 0.7495
Tm1 Tm 0.2500 0.0832 0.4993

=====

# LiScPd2 PBE relaxed
# - magnetic moment (μB per formula unit) = 0.004
# - E (Ry/atom) = -0.3735
# - distance to the lowest polymorph of the same formula (eV per atom) = 0.328
data_LiScPd2
_chemical_formula_sum 'Li2 Sc2 Pd4'
_symmetry_space_group_name_H-M 'P 63/m m c'
_symmetry_Int_Tables_number 194
_symmetry_space_group_name_Hall '-P 6c 2c'
_cell_length_a 4.4141
_cell_length_b 4.4141
_cell_length_c 8.0779
_cell_angle_alpha 90.00
_cell_angle_beta 90.00
_cell_angle_gamma 120.00
loop_
_atom_site_label
_atom_site_type_symbol
_atom_site_fract_x
_atom_site_fract_y
_atom_site_fract_z
Li1 Li 0.0000 0.0000 0.2500
Sc1 Sc 0.3333 0.6667 0.2500
Pd1 Pd 0.3333 0.6667 0.5842

=====

# Pm4Pd3Pt PBE relaxed
# - magnetic moment (μB per formula unit) = 0.012
# - E (Ry/atom) = -0.4411
# - energy relative to the elements (kJ/mol of formula units) = -718
data_Pm4Pd3Pt
_chemical_formula_sum 'Pm4 Pd3 Pt1'
_symmetry_space_group_name_H-M 'P m m 2'
_symmetry_Int_Tables_number 25
_symmetry_space_group_name_Hall 'P 2 -2'
_cell_length_a 3.8484
_cell_length_b 4.6145
_cell_length_c 10.8007
_cell_angle_alpha 90.00
_cell_angle_beta 90.00
_cell_angle_gamma 90.00
loop_
_atom_site_label
_atom_site_type_symbol
_atom_site_fract_x
_atom_site_fract_y
_atom_site_fract_z
Pm1 Pm 0.0000 0.0000 0.0000
Pm2 Pm 0.0000 0.5000 0.2715
Pm3 Pm 0.5000 0.0000 0.4946
Pm4 Pm 0.5000 0.5000 0.7710
Pd1 Pd 0.0000 0.0000 0.7196
Pd2 Pd 0.0000 0.5000 0.5496
Pd3 Pd 0.5000 0.5000 0.0466
Pt1 Pt 0.5000 0.0000 0.2210

=====

# ZnGaSb2 PBE relaxed
# - E (Ry/atom) = -0.2154
data_ZnGaSb2
_chemical_formula_sum 'Zn4 Ga4 Sb8'
_symmetry_space_group_name_H-M 'F -4 3 m'
_symmetry_Int_Tables_number 216
_symmetry_space_group_name_Hall 'F -4 2 3'
_cell_length_a 7.2305
_cell_length_b 7.2305
_cell_length_c 7.2305
_cell_angle_alpha 90.00
_cell_angle_beta 90.00
_cell_angle_gamma 90.00
loop_
_atom_site_label
_atom_site_type_symbol
_atom_site_fract_x
_atom_site_fract_y
_atom_site_fract_z
Zn1 Zn 0.0000 0.0000 0.0000
Ga1 Ga 0.2500 0.2500 0.7500
Sb1 Sb 0.0000 0.0000 0.5000
Sb2 Sb 0.2500 0.2500 0.2500

=====

# AcAgAu PBE relaxed
# - magnetic moment (μB per formula unit) = 0.004
# - E (Ry/atom) = -0.2646
# - energy relative to the elements (kJ/mol of formula units) = -58
# - distance to the lowest polymorph of the same formula (eV per atom) = 0.157
data_AcAgAu
_chemical_formula_sum 'Ac4 Ag4 Au4'
_symmetry_space_group_name_H-M 'F -4 3 m'
_symmetry_Int_Tables_number 216
_symmetry_space_group_name_Hall 'F -4 2 3'
_cell_length_a 7.3406
_cell_length_b 7.3406
_cell_length_c 7.3406
_cell_angle_alpha 90.00
_cell_angle_beta 90.00
_cell_angle_gamma 90.00
loop_
_atom_site_label
_atom_site_type_symbol
_atom_site_fract_x
_atom_site_fract_y
_atom_site_fract_z
Ac1 Ac 0.0000 0.0000 0.0000
Ag1 Ag 0.2500 0.2500 0.7500
Au1 Au 0.2500 0.2500 0.2500

=====

# PrDy2Zn2Si4Au2 PBE relaxed
# - magnetic moment (μB per formula unit) = 0.001
# - E (Ry/atom) = -0.3428
# - distance to the lowest polymorph of the same formula (eV per atom) = 0.037
data_PrDy2Zn2Si4Au2
_chemical_formula_sum 'Pr2 Dy4 Zn4 Si8 Au4'
_symmetry_space_group_name_H-M 'I m m m'
_symmetry_Int_Tables_number 71
_symmetry_space_group_name_Hall '-I 2 2'
_cell_length_a 4.1839
_cell_length_b 4.1985
_cell_length_c 24.6632
_cell_angle_alpha 90.00
_cell_angle_beta 90.00
_cell_angle_gamma 90.00
loop_
_atom_site_label
_atom_site_type_symbol
_atom_site_fract_x
_atom_site_fract_y
_atom_site_fract_z
Pr1 Pr 0.0000 0.0000 0.0000
Dy1 Dy 0.0000 0.5000 0.1455
Zn1 Zn 0.0000 0.5000 0.4050
Si1 Si 0.0000 0.0000 0.4516
Si2 Si 0.0000 0.5000 0.3106
Au1 Au 0.0000 0.0000 0.2517

=====

# DyPuHf PBE relaxed
# - magnetic moment (μB per formula unit) = 6.106
# - E (Ry/atom) = -0.6422
# - energy relative to the elements (kJ/mol of formula units) = 238
# - distance to the lowest polymorph of the same formula (eV per atom) = 0.000
data_DyPuHf
_chemical_formula_sum 'Dy4 Pu4 Hf4'
_symmetry_space_group_name_H-M 'F -4 3 m'
_symmetry_Int_Tables_number 216
_symmetry_space_group_name_Hall 'F -4 2 3'
_cell_length_a 7.1528
_cell_length_b 7.1528
_cell_length_c 7.1528
_cell_angle_alpha 90.00
_cell_angle_beta 90.00
_cell_angle_gamma 90.00
loop_
_atom_site_label
_atom_site_type_symbol
_atom_site_fract_x
_atom_site_fract_y
_atom_site_fract_z
Dy1 Dy 0.0000 0.0000 0.0000
Pu1 Pu 0.0000 0.0000 0.5000
Hf1 Hf 0.2500 0.2500 0.2500

=====

# TeIr PBE relaxed
# - magnetic moment (μB per formula unit) = 0.013
# - E (Ry/atom) = -0.4186
data_TeIr
_chemical_formula_sum 'Te4 Ir4'
_symmetry_space_group_name_H-M 'F m -3 m'
_symmetry_Int_Tables_number 225
_symmetry_space_group_name_Hall '-F 4 2 3'
_cell_length_a 5.4716
_cell_length_b 5.4716
_cell_length_c 5.4716
_cell_angle_alpha 90.00
_cell_angle_beta 90.00
_cell_angle_gamma 90.00
loop_
_atom_site_label
_atom_site_type_symbol
_atom_site_fract_x
_atom_site_fract_y
_atom_site_fract_z
Te1 Te 0.0000 0.0000 0.0000
Ir1 Ir 0.0000 0.0000 0.5000

=====

# Zr2Ge2SbSe PBE relaxed
# - magnetic moment (μB per formula unit) = 0.002
# - E (Ry/atom) = -0.4384
data_Zr2Ge2SbSe
_chemical_formula_sum 'Zr2 Ge2 Sb1 Se1'
_symmetry_space_group_name_H-M 'P -4 m 2'
_symmetry_Int_Tables_number 115
_symmetry_space_group_name_Hall 'P -4 -2'
_cell_length_a 4.0037
_cell_length_b 4.0037
_cell_length_c 7.9911
_cell_angle_alpha 90.00
_cell_angle_beta 90.00
_cell_angle_gamma 90.00
loop_
_atom_site_label
_atom_site_type_symbol
_atom_site_fract_x
_atom_site_fract_y
_atom_site_fract_z
Zr1 Zr 0.0000 0.5000 0.2132
Ge1 Ge 0.0000 0.5000 0.8579
Sb1 Sb 0.5000 0.5000 0.5000
Se1 Se 0.0000 0.0000 0.5000

=====

# Nd2Ho2CBr3Cl2 PBE relaxed
# - magnetic moment (μB per formula unit) = 0.018
# - E (Ry/atom) = -0.3818
# - distance to the lowest polymorph of the same formula (eV per atom) = 0.001
data_Nd2Ho2CBr3Cl2
_chemical_formula_sum 'Nd4 Ho4 C2 Br6 Cl4'
_symmetry_space_group_name_H-M 'C 1 2/m 1'
_symmetry_Int_Tables_number 12
_symmetry_space_group_name_Hall '-C 2y'
_cell_length_a 17.8449
_cell_length_b 3.8643
_cell_length_c 8.4243
_cell_angle_alpha 90.00
_cell_angle_beta 103.48
_cell_angle_gamma 90.00
loop_
_atom_site_label
_atom_site_type_symbol
_atom_site_fract_x
_atom_site_fract_y
_atom_site_fract_z
Nd1 Nd 0.0000 0.0000 0.2064
Ho1 Ho 0.1379 0.5000 0.0737
C1 C 0.0000 0.5000 0.0000
Br1 Br 0.0000 0.5000 0.5000
Br2 Br 0.1742 0.0000 0.8470
Cl1 Cl 0.1649 0.0000 0.3056

=====

# LaGaAg PBE relaxed
# - magnetic moment (μB per formula unit) = 0.005
# - E (Ry/atom) = -0.2584
data_LaGaAg
_chemical_formula_sum 'La4 Ga4 Ag4'
_symmetry_space_group_name_H-M 'F -4 3 m'
_symmetry_Int_Tables_number 216
_symmetry_space_group_name_Hall 'F -4 2 3'
_cell_length_a 7.0873
_cell_length_b 7.0873
_cell_length_c 7.0873
_cell_angle_alpha 90.00
_cell_angle_beta 90.00
_cell_angle_gamma 90.00
loop_
_atom_site_label
_atom_site_type_symbol
_atom_site_fract_x
_atom_site_fract_y
_atom_site_fract_z
La1 La 0.0000 0.0000 0.0000
Ga1 Ga 0.2500 0.2500 0.2500
Ag1 Ag 0.2500 0.2500 0.7500

=====

# LaHo2P3 PBE relaxed
# - magnetic moment (μB per formula unit) = 0.006
# - E (Ry/atom) = -0.4878
data_LaHo2P3
_chemical_formula_sum 'La1 Ho2 P3'
_symmetry_space_group_name_H-M 'P -3 m 1'
_symmetry_Int_Tables_number 164
_symmetry_space_group_name_Hall '-P 3 2"'
_cell_length_a 4.0812
_cell_length_b 4.0812
_cell_length_c 9.9959
_cell_angle_alpha 90.00
_cell_angle_beta 90.00
_cell_angle_gamma 120.00
loop_
_atom_site_label
_atom_site_type_symbol
_atom_site_fract_x
_atom_site_fract_y
_atom_site_fract_z
La1 La 0.0000 0.0000 0.0000
Ho1 Ho 0.3333 0.6667 0.3407
P1 P 0.0000 0.0000 0.5000
P2 P 0.3333 0.6667 0.8192

=====

Q: Which formula does entry 7 have?
A: DyPuHf